Entry 1:
A geometry-optimized SmMnGa6 structure. Source: Alexandria, functional GGA-PBE.

CIF file:
```
data_SmMnGa6
_cell_length_a 5.7450
_cell_length_b 5.7450
_cell_length_c 5.7450
_cell_angle_alpha 106.81
_cell_angle_beta 106.81
_cell_angle_gamma 106.81
_symmetry_space_group_name_H-M 'P 1'
_symmetry_Int_Tables_number 1
loop_
_symmetry_equiv_pos_as_xyz
'x,y,z'
loop_
_atom_site_label
_atom_site_type_symbol
_atom_site_fract_x
_atom_site_fract_y
_atom_site_fract_z
_atom_site_occupancy
Sm1 Sm 0.0000 0.0000 0.0000 1
Mn1 Mn 0.5000 0.5000 0.5000 1
Ga1 Ga 0.2181 0.2181 0.6391 1
Ga2 Ga 0.2181 0.6391 0.2181 1
Ga3 Ga 0.3609 0.7819 0.7819 1
Ga4 Ga 0.6391 0.2181 0.2181 1
Ga5 Ga 0.7819 0.3609 0.7819 1
Ga6 Ga 0.7819 0.7819 0.3609 1
```

Properties
Electronic total energy in eV per cell: -33.32
DFT formation energy in eV/atom: -0.16
Total moment in μB per cell: 1.36

Entry 2:
A geometry-optimized SmMn3Ga3 structure. Source: Alexandria, functional GGA-PBE.

CIF file:
```
data_SmMn3Ga3
_cell_length_a 6.7151
_cell_length_b 6.7151
_cell_length_c 6.7151
_cell_angle_alpha 90.00
_cell_angle_beta 90.00
_cell_angle_gamma 90.00
_symmetry_space_group_name_H-M 'P 1'
_symmetry_Int_Tables_number 1
loop_
_symmetry_equiv_pos_as_xyz
'x,y,z'
loop_
_atom_site_label
_atom_site_type_symbol
_atom_site_fract_x
_atom_site_fract_y
_atom_site_fract_z
_atom_site_occupancy
Sm1 Sm 0.0000 0.0000 0.0000 1
Sm2 Sm 0.5000 0.5000 0.5000 1
Mn1 Mn 0.0000 0.2500 0.5000 1
Mn2 Mn 0.0000 0.7500 0.5000 1
Mn3 Mn 0.2500 0.5000 0.0000 1
Mn4 Mn 0.5000 0.0000 0.2500 1
Mn5 Mn 0.5000 0.0000 0.7500 1
Mn6 Mn 0.7500 0.5000 0.0000 1
Ga1 Ga 0.0000 0.5000 0.2500 1
Ga2 Ga 0.0000 0.5000 0.7500 1
Ga3 Ga 0.2500 0.0000 0.5000 1
Ga4 Ga 0.5000 0.2500 0.0000 1
Ga5 Ga 0.5000 0.7500 0.0000 1
Ga6 Ga 0.7500 0.0000 0.5000 1
```

Properties
Electronic total energy in eV per cell: -77.26
DFT formation energy in eV/atom: 0.38
Total moment in μB per cell: 18.86

Entry 3:
A geometry-optimized Sm2MnGa structure. Source: Alexandria, functional GGA-PBE.

CIF file:
```
data_Sm2MnGa
_cell_length_a 3.6248
_cell_length_b 3.6248
_cell_length_c 7.3358
_cell_angle_alpha 90.00
_cell_angle_beta 90.00
_cell_angle_gamma 90.00
_symmetry_space_group_name_H-M 'P 1'
_symmetry_Int_Tables_number 1
loop_
_symmetry_equiv_pos_as_xyz
'x,y,z'
loop_
_atom_site_label
_atom_site_type_symbol
_atom_site_fract_x
_atom_site_fract_y
_atom_site_fract_z
_atom_site_occupancy
Sm1 Sm 0.0000 0.0000 0.2460 1
Sm2 Sm 0.0000 0.0000 0.7540 1
Mn1 Mn 0.5000 0.5000 0.0000 1
Ga1 Ga 0.5000 0.5000 0.5000 1
```

Properties
Electronic total energy in eV per cell: -22.17
DFT formation energy in eV/atom: -0.13
Total moment in μB per cell: 2.97

Entry 4:
A geometry-optimized Sm2MnGa structure. Source: Alexandria, functional GGA-PBE.

CIF file:
```
data_Sm2MnGa
_cell_length_a 10.7298
_cell_length_b 10.7298
_cell_length_c 10.7298
_cell_angle_alpha 18.16
_cell_angle_beta 18.16
_cell_angle_gamma 18.16
_symmetry_space_group_name_H-M 'P 1'
_symmetry_Int_Tables_number 1
loop_
_symmetry_equiv_pos_as_xyz
'x,y,z'
loop_
_atom_site_label
_atom_site_type_symbol
_atom_site_fract_x
_atom_site_fract_y
_atom_site_fract_z
_atom_site_occupancy
Sm1 Sm 0.0923 0.0923 0.0923 1
Sm2 Sm 0.9077 0.9077 0.9077 1
Mn1 Mn 0.0000 0.0000 0.0000 1
Ga1 Ga 0.5000 0.5000 0.5000 1
```

Properties
Electronic total energy in eV per cell: -20.21
DFT formation energy in eV/atom: 0.36
Total moment in μB per cell: 3.22

Entry 5:
A geometry-optimized SmMn4Ga8 structure. Source: Alexandria, functional GGA-PBE.

CIF file:
```
data_SmMn4Ga8
_cell_length_a 6.7668
_cell_length_b 6.7668
_cell_length_c 6.7668
_cell_angle_alpha 98.54
_cell_angle_beta 98.54
_cell_angle_gamma 134.66
_symmetry_space_group_name_H-M 'P 1'
_symmetry_Int_Tables_number 1
loop_
_symmetry_equiv_pos_as_xyz
'x,y,z'
loop_
_atom_site_label
_atom_site_type_symbol
_atom_site_fract_x
_atom_site_fract_y
_atom_site_fract_z
_atom_site_occupancy
Sm1 Sm 0.0000 0.0000 0.0000 1
Mn1 Mn 0.0000 0.0000 0.5000 1
Mn2 Mn 0.0000 0.5000 0.0000 1
Mn3 Mn 0.5000 0.0000 0.0000 1
Mn4 Mn 0.5000 0.5000 0.5000 1
Ga1 Ga 0.0000 0.3358 0.3358 1
Ga2 Ga 0.0000 0.6642 0.6642 1
Ga3 Ga 0.2716 0.5000 0.7716 1
Ga4 Ga 0.3358 0.0000 0.3358 1
Ga5 Ga 0.5000 0.2716 0.7716 1
Ga6 Ga 0.5000 0.7284 0.2284 1
Ga7 Ga 0.6642 0.0000 0.6642 1
Ga8 Ga 0.7284 0.5000 0.2284 1
```

Properties
Electronic total energy in eV per cell: -68.94
DFT formation energy in eV/atom: -0.26
Total moment in μB per cell: 8.98

Entry 6:
A geometry-optimized TbSmMnGa structure. Source: Alexandria, functional GGA-PBE.

CIF file:
```
data_TbSmMnGa
_cell_length_a 5.1055
_cell_length_b 5.1055
_cell_length_c 5.1055
_cell_angle_alpha 60.00
_cell_angle_beta 60.00
_cell_angle_gamma 60.00
_symmetry_space_group_name_H-M 'P 1'
_symmetry_Int_Tables_number 1
loop_
_symmetry_equiv_pos_as_xyz
'x,y,z'
loop_
_atom_site_label
_atom_site_type_symbol
_atom_site_fract_x
_atom_site_fract_y
_atom_site_fract_z
_atom_site_occupancy
Tb1 Tb 0.0000 0.0000 0.0000 1
Sm1 Sm 0.5000 0.5000 0.5000 1
Mn1 Mn 0.7500 0.7500 0.7500 1
Ga1 Ga 0.2500 0.2500 0.2500 1
```

Properties
Electronic total energy in eV per cell: -22.10
DFT formation energy in eV/atom: -0.14
Total moment in μB per cell: 3.30

Entry 7:
A geometry-optimized SmYMnGa structure. Source: Alexandria, functional GGA-PBE.

CIF file:
```
data_SmYMnGa
_cell_length_a 5.1049
_cell_length_b 5.1049
_cell_length_c 5.1049
_cell_angle_alpha 60.00
_cell_angle_beta 60.00
_cell_angle_gamma 60.00
_symmetry_space_group_name_H-M 'P 1'
_symmetry_Int_Tables_number 1
loop_
_symmetry_equiv_pos_as_xyz
'x,y,z'
loop_
_atom_site_label
_atom_site_type_symbol
_atom_site_fract_x
_atom_site_fract_y
_atom_site_fract_z
_atom_site_occupancy
Sm1 Sm 0.0000 0.0000 0.0000 1
Y1 Y 0.5000 0.5000 0.5000 1
Mn1 Mn 0.7500 0.7500 0.7500 1
Ga1 Ga 0.2500 0.2500 0.2500 1
```

Properties
Electronic total energy in eV per cell: -23.97
DFT formation energy in eV/atom: -0.15
Total moment in μB per cell: 3.32

Entry 8:
A geometry-optimized Mn2GaSn2 structure. Source: Alexandria, functional GGA-PBE.

CIF file:
```
data_Mn2GaSn2
_cell_length_a 6.7016
_cell_length_b 6.7016
_cell_length_c 4.0886
_cell_angle_alpha 90.00
_cell_angle_beta 90.00
_cell_angle_gamma 90.00
_symmetry_space_group_name_H-M 'P 1'
_symmetry_Int_Tables_number 1
loop_
_symmetry_equiv_pos_as_xyz
'x,y,z'
loop_
_atom_site_label
_atom_site_type_symbol
_atom_site_fract_x
_atom_site_fract_y
_atom_site_fract_z
_atom_site_occupancy
Mn1 Mn 0.1431 0.3569 0.0000 1
Mn2 Mn 0.3569 0.8569 0.0000 1
Mn3 Mn 0.6431 0.1431 0.0000 1
Mn4 Mn 0.8569 0.6431 0.0000 1
Ga1 Ga 0.0000 0.0000 0.0000 1
Ga2 Ga 0.5000 0.5000 0.0000 1
Sn1 Sn 0.1634 0.6634 0.5000 1
Sn2 Sn 0.3366 0.1634 0.5000 1
Sn3 Sn 0.6634 0.8366 0.5000 1
Sn4 Sn 0.8366 0.3366 0.5000 1
```

Properties
Electronic total energy in eV per cell: -57.56
DFT formation energy in eV/atom: 0.12
Total moment in μB per cell: 11.50